## LaNbS2Cl (PBEsol)

Data for LaNbS2Cl after structural relaxation.

Properties
Its calculated density is 3.565 g cm⁻³. Its formation energy without anion corrections is -0.06 eV per atom. As for the volume: 30.869 A^3/atom. The density of states at the Fermi level is 1.332 states/eV per atom. The size of the total moment is 3.0 μB/f.u.

Lattice parameters (Å, degrees): 5.4439 5.4439 5.2080 90.00 90.00 90.00
Fractional positions:
La 0.0000 0.0000 0.0000
Nb 0.5000 0.5000 0.5000
S 0.0000 0.5000 0.0000
S 0.5000 0.0000 0.0000
Cl 0.0000 0.0000 0.5000